# 1
A plane-wave DFT calculation with GGA-PBEsol was carried out for a relaxed structure of LiOsO3.

Output
Total DFT energy (no corrections), eV per atom: -7.33

Cell: 5.1071 5.1071 5.2463 Å, 60.87 60.87 60.00°
Last column: nearest neighbours and their distance in Å.
Element x y z (fractional)
1 Os 0.5000 0.5000 0.5000  6 O 1.94
2 Os 0.0000 0.0000 0.0000  6 O 1.94
3 O 0.3778 0.1222 0.7500  1 Li 1.90, 2 Os 1.94
4 O 0.7500 0.3778 0.7500  1 Li 1.90, 2 Os 1.94
5 O 0.1222 0.7500 0.7500  1 Li 1.90, 2 Os 1.94
6 O 0.2500 0.6222 0.2500  1 Li 1.90, 2 Os 1.94
7 O 0.8778 0.2500 0.2500  1 Li 1.90, 2 Os 1.94
8 O 0.6222 0.8778 0.2500  1 Li 1.90, 2 Os 1.94
9 Li 0.7500 0.7500 0.7500  3 O 1.90
10 Li 0.2500 0.2500 0.2500  3 O 1.90

# 2
A plane-wave DFT calculation with GGA-PBEsol was carried out for a relaxed structure of Li2OsO2.

Output
Total DFT energy (no corrections), eV per atom: -5.58

Cell: 2.5340 5.8671 5.8671 Å, 90.00 90.00 90.00°
Last column: nearest neighbours and their distance in Å.
Element x y z (fractional)
1 Os 0.0000 0.0000 0.0000  4 Li 2.34, 8 O 2.48, 2 Os 2.53
2 Os 0.0000 0.5000 0.5000  4 Li 2.34, 8 O 2.48, 2 Os 2.53
3 O 0.5000 0.1936 0.6936  2 Li 2.00
4 O 0.5000 0.6936 0.8064  2 Li 2.00
5 O 0.5000 0.8064 0.3064  2 Li 2.00
6 O 0.5000 0.3064 0.1936  2 Li 2.00
7 Li 0.0000 0.3798 0.8798  1 Li 1.99, 2 O 2.00
8 Li 0.0000 0.8798 0.6202  1 Li 1.99, 2 O 2.00
9 Li 0.0000 0.6202 0.1202  1 Li 1.99, 2 O 2.00
10 Li 0.0000 0.1202 0.3798  1 Li 1.99, 2 O 2.00

Raw formation energy per entry: -1.3425; -0.2518 eV per atom